No. 1
# U6Al43W4

A relaxed structure of U6Al43W4 (PBE, OQMD).

Cell and atoms, written as POSCAR:
```
U6Al43W4
1.0
11.024 0.000 0.000
-5.512 9.547 0.000
0.000 0.000 17.495
U Al W
12 86 8
Direct
0.000 0.476 0.088
0.000 0.476 0.412
0.000 0.524 0.588
0.000 0.524 0.912
0.476 0.000 0.088
0.476 0.000 0.412
0.476 0.476 0.588
0.476 0.476 0.912
0.524 0.000 0.588
0.524 0.000 0.912
0.524 0.524 0.088
0.524 0.524 0.412
0.000 0.149 0.750
0.000 0.163 0.113
0.000 0.163 0.387
0.000 0.255 0.530
0.000 0.255 0.970
0.000 0.745 0.030
0.000 0.745 0.470
0.000 0.837 0.613
0.000 0.837 0.887
0.000 0.851 0.250
0.142 0.551 0.250
0.142 0.591 0.750
0.149 0.000 0.750
0.149 0.149 0.250
0.162 0.396 0.662
0.162 0.396 0.838
0.162 0.765 0.162
0.162 0.765 0.338
0.163 0.000 0.113
0.163 0.000 0.387
0.163 0.163 0.613
0.163 0.163 0.887
0.235 0.396 0.162
0.235 0.396 0.338
0.235 0.838 0.662
0.235 0.838 0.838
0.247 0.493 0.000
0.247 0.493 0.500
0.247 0.753 0.000
0.247 0.753 0.500
0.255 0.000 0.530
0.255 0.000 0.970
0.255 0.255 0.030
0.255 0.255 0.470
0.333 0.667 0.127
0.333 0.667 0.373
0.333 0.667 0.627
0.333 0.667 0.873
0.396 0.162 0.662
0.396 0.162 0.838
0.396 0.235 0.162
0.396 0.235 0.338
0.409 0.551 0.750
0.409 0.858 0.250
0.449 0.591 0.250
0.449 0.858 0.750
0.493 0.247 0.000
0.493 0.247 0.500
0.507 0.753 0.000
0.507 0.753 0.500
0.551 0.142 0.250
0.551 0.409 0.750
0.591 0.142 0.750
0.591 0.449 0.250
0.604 0.765 0.662
0.604 0.765 0.838
0.604 0.838 0.162
0.604 0.838 0.338
0.667 0.333 0.127
0.667 0.333 0.373
0.667 0.333 0.627
0.667 0.333 0.873
0.745 0.000 0.030
0.745 0.000 0.470
0.745 0.745 0.530
0.745 0.745 0.970
0.753 0.247 0.000
0.753 0.247 0.500
0.753 0.507 0.000
0.753 0.507 0.500
0.765 0.162 0.162
0.765 0.162 0.338
0.765 0.604 0.662
0.765 0.604 0.838
0.837 0.000 0.613
0.837 0.000 0.887
0.837 0.837 0.113
0.837 0.837 0.387
0.838 0.235 0.662
0.838 0.235 0.838
0.838 0.604 0.162
0.838 0.604 0.338
0.851 0.000 0.250
0.851 0.851 0.750
0.858 0.409 0.250
0.858 0.449 0.750
0.000 0.000 0.000
0.000 0.000 0.500
0.000 0.269 0.250
0.000 0.731 0.750
0.269 0.000 0.250
0.269 0.269 0.750
0.731 0.000 0.750
0.731 0.731 0.250
```

Calculated values
For the total energy, the calculation gives -5.450 eV/atom. The calculated density is 5.995 Mg/m³.

No. 2
# UNbTc

A relaxed structure of UNbTc (PBE, OQMD).

Cell and atoms, written as POSCAR:
```
UNbTc
1.0
0.000 3.127 3.127
3.127 0.000 3.127
3.127 3.127 0.000
U Nb Tc
1 1 1
Direct
0.000 0.000 0.000
0.750 0.750 0.750
0.500 0.500 0.500
```

Calculated values
The calculation puts the formation energy from the elements at 610 meV/atom. For the total energy, the calculation gives -9.974 eV/atom. The calculated density is 11.644 Mg/m³.

No. 3
# PmTeNO

A relaxed structure of PmTeNO (PBE, OQMD).

Cell and atoms, written as POSCAR:
```
PmTeNO
1.0
5.813 0.000 0.000
0.000 9.188 0.000
0.000 0.000 5.747
Pm Te N O
4 4 4 4
Direct
0.028 0.119 0.000
0.472 0.119 0.500
0.528 0.881 0.000
0.972 0.881 0.500
0.051 0.393 0.452
0.449 0.393 0.952
0.551 0.607 0.452
0.949 0.607 0.952
0.216 0.295 0.723
0.284 0.295 0.223
0.716 0.705 0.723
0.784 0.705 0.223
0.249 0.978 0.250
0.251 0.978 0.750
0.749 0.022 0.250
0.751 0.022 0.750
```

Calculated values
For the total energy, the calculation gives -6.706 eV/atom. The calculated density is 6.548 Mg/m³.

No. 4
# KNaHfTe3

A relaxed structure of KNaHfTe3 (PBE, OQMD).

Cell and atoms, written as POSCAR:
```
KNaHfTe3
1.0
2.144 -7.801 0.000
2.144 7.801 0.000
0.000 0.000 11.566
K Na Hf Te
2 2 2 6
Direct
0.245 0.755 0.750
0.755 0.245 0.250
0.054 0.946 0.250
0.946 0.054 0.750
0.500 0.500 0.000
0.500 0.500 0.500
0.129 0.871 0.025
0.129 0.871 0.475
0.433 0.567 0.250
0.567 0.433 0.750
0.871 0.129 0.525
0.871 0.129 0.975
```

Calculated values
For the total energy, the calculation gives -4.438 eV/atom. The calculated density is 5.350 Mg/m³.

No. 5
# NpTlAgSe3

A relaxed structure of NpTlAgSe3 (PBE, OQMD).

Cell and atoms, written as POSCAR:
```
NpTlAgSe3
1.0
2.107 -7.264 0.000
2.107 7.264 0.000
0.000 0.000 10.779
Np Tl Ag Se
2 2 2 6
Direct
0.000 0.000 0.000
0.000 0.000 0.500
0.251 0.749 0.750
0.749 0.251 0.250
0.459 0.541 0.250
0.541 0.459 0.750
0.071 0.929 0.250
0.371 0.629 0.039
0.371 0.629 0.461
0.629 0.371 0.539
0.629 0.371 0.961
0.929 0.071 0.750
```

Calculated values
For the total energy, the calculation gives -5.487 eV/atom. The calculated density is 7.914 Mg/m³.

No. 6
# CsGaCu

A relaxed structure of CsGaCu (PBE, OQMD).

Cell and atoms, written as POSCAR:
```
CsGaCu
1.0
0.000 4.003 4.003
4.003 0.000 4.003
4.003 4.003 0.000
Cs Ga Cu
1 1 1
Direct
0.000 0.000 0.000
0.250 0.250 0.250
0.750 0.750 0.750
```

Calculated values
For the total energy, the calculation gives -1.566 eV/atom. The calculated density is 3.446 Mg/m³.

No. 7
# PrLuCu2As4

A relaxed structure of PrLuCu2As4 (PBE, OQMD).

Cell and atoms, written as POSCAR:
```
PrLuCu2As4
1.0
3.942 0.000 0.000
0.000 3.942 0.000
0.000 0.000 9.974
Pr Lu Cu As
1 1 2 4
Direct
0.000 0.000 0.000
0.500 0.500 0.525
0.000 0.500 0.273
0.500 0.000 0.273
0.000 0.000 0.431
0.000 0.500 0.753
0.500 0.000 0.753
0.500 0.500 0.117
```

Calculated values
For the total energy, the calculation gives -5.210 eV/atom. The calculated density is 7.957 Mg/m³.

No. 8
# RbMgAsPd

A relaxed structure of RbMgAsPd (PBE, OQMD).

Cell and atoms, written as POSCAR:
```
RbMgAsPd
1.0
0.000 3.525 3.525
3.525 0.000 3.525
3.525 3.525 0.000
Rb Mg As Pd
1 1 1 1
Direct
0.000 0.000 0.000
0.750 0.750 0.750
0.500 0.500 0.500
0.250 0.250 0.250
```

Calculated values
For the total energy, the calculation gives -2.977 eV/atom. The calculated density is 5.518 Mg/m³.